Entry from Alexandria via LeMat-Bulk: AcHIr after structural relaxation (PBE).

Output
- total energy (eV per atom) = -6.0097
- magnetization (μB per atom) = 0.000
- ρ (g/cm3) = 12.0
- N(E_F) (states/eV/cell) = 2.35
- SG = C2/m, No. 12

Cell lengths 6.4297, 6.4297, 4.5627 Å; angles 91.93, 91.93, 38.11 degrees
Closest atoms and distances in Å follow each position.
Element x y z (fractional)
Ac (0.1302, 0.1302, 0.2598)  3 H 2.53-2.56
Ac (0.8698, 0.8698, 0.7402)  3 H 2.53-2.56
H (0.3143, 0.3143, 0.0199)  1 Ir 1.70
H (0.6857, 0.6857, 0.9801)  1 Ir 1.70
Ir (0.4177, 0.4177, 0.2815)  1 H 1.70
Ir (0.5823, 0.5823, 0.7185)  1 H 1.70